# TiGaSe3

A relaxed TiGaSe3 crystal (PBE, the Alexandria database).

Lattice parameters (Å, degrees): 4.992 4.992 4.992 90.00 90.00 90.00
Positions (direct):
1 Ga 0.500 0.500 0.500
2 Se 0.000 0.500 0.000
3 Se 0.000 0.000 0.500
4 Se 0.500 0.000 0.000
5 Ti 0.000 0.000 0.000

## Properties
Symmetry: Pm-3m (221)
Energy relative to the elements, uncorrected (eV per atom): -0.4636


# ThZrCd2

A relaxed ThZrCd2 crystal (PBE, the Alexandria database).

Lattice parameters (Å, degrees): 5.237 5.237 5.237 60.00 60.00 60.00
Positions (direct):
1 Zr 0.000 0.000 0.000
2 Th 0.500 0.500 0.500
3 Cd 0.250 0.250 0.250
4 Cd 0.750 0.750 0.750

## Properties
Symmetry: Fm-3m (225)
Distance to the lowest polymorph of the same formula (meV/atom): 84
ΔE_f (eV/atom): 0.000


# CrCu7Pd12

A relaxed CrCu7Pd12 crystal (PBE, the Alexandria database).

Lattice parameters (Å, degrees): 6.840 6.840 6.840 103.55 103.55 103.55
Each line ends with the local moment (μB).
Positions (direct):
1 Cr 0.000 0.000 0.000  2.73
2 Cu 0.098 0.681 0.083  0.04
3 Cu 0.319 0.917 0.902  0.04
4 Cu 0.917 0.902 0.319  0.04
5 Cu 0.500 0.500 0.500  0.01
6 Cu 0.083 0.098 0.681  0.04
7 Cu 0.681 0.083 0.098  0.04
8 Cu 0.902 0.319 0.917  0.04
9 Pd 0.764 0.242 0.510  0.01
10 Pd 0.758 0.490 0.236  0.01
11 Pd 0.333 0.074 0.319  0.00
12 Pd 0.926 0.681 0.667  0.00
13 Pd 0.490 0.236 0.758  0.01
14 Pd 0.681 0.667 0.926  0.00
15 Pd 0.319 0.333 0.074  0.00
16 Pd 0.510 0.764 0.242  0.01
17 Pd 0.074 0.319 0.333  0.00
18 Pd 0.667 0.926 0.681  0.00
19 Pd 0.242 0.510 0.764  0.01
20 Pd 0.236 0.758 0.490  0.01

## Properties
Symmetry: R-3 (148)
ΔE_f (eV/atom): -0.021


Number 1: size of the total moment 0.00 Bohr magnetons per cell. Number 2: size of the total moment 0.00 Bohr magnetons per cell. Number 3: size of the total moment 3.26 Bohr magnetons per cell.